# 1
A relaxed TmLuZnTe3 crystal. Source: the Open Quantum Materials Database, functional GGA-PBE.

Summary:
SG	No. 63
size of the total moment	0.005	μB per formula unit
E	-4.144	eV per atom

abc: 7.741 7.741 10.431
angles: 90.00 90.00 149.48
Fractional coordinates of all 12 atoms:
Tm 0.000 0.000 0.000
Tm 0.000 0.000 0.500
Lu 0.223 0.777 0.750
Lu 0.777 0.223 0.250
Zn 0.480 0.520 0.250
Zn 0.520 0.480 0.750
Te 0.119 0.881 0.250
Te 0.348 0.652 0.052
Te 0.348 0.652 0.448
Te 0.652 0.348 0.552
Te 0.652 0.348 0.948
Te 0.881 0.119 0.750

***

# 2
A relaxed Er3Mg3In2Ga crystal. Source: the Open Quantum Materials Database, functional GGA-PBE.

Summary:
SG	No. 189
size of the total moment	0.002	μB per formula unit
E	-3.376	eV per atom

abc: 7.455 7.455 4.519
angles: 90.00 90.00 120.00
Fractional coordinates of all 9 atoms:
Er 0.000 0.418 0.000
Er 0.418 0.000 0.000
Er 0.582 0.582 0.000
Mg 0.000 0.762 0.500
Mg 0.238 0.238 0.500
Mg 0.762 0.000 0.500
In 0.333 0.667 0.500
In 0.667 0.333 0.500
Ga 0.000 0.000 0.000

***

# 3
A relaxed Mg3Ag2Hg crystal. Source: the Open Quantum Materials Database, functional GGA-PBE.

Summary:
SG	No. 123
E	-2.006	eV per atom

abc: 3.327 3.327 10.392
angles: 90.00 90.00 90.00
Fractional coordinates of all 6 atoms:
Mg 0.000 0.000 0.000
Mg 0.000 0.000 0.319
Mg 0.000 0.000 0.681
Ag 0.500 0.500 0.158
Ag 0.500 0.500 0.842
Hg 0.500 0.500 0.500

***

# 4
A relaxed SrBeCoSb crystal. Source: the Open Quantum Materials Database, functional GGA-PBE.

Summary:
SG	No. 216
size of the total moment	0.373	μB per formula unit
polymorph energy (0 for the lowest one)	0.0	kJ per mole of atoms

abc: 4.661 4.661 4.661
angles: 60.00 60.00 60.00
Fractional coordinates of all 4 atoms:
Sr 0.000 0.000 0.000
Be 0.750 0.750 0.750
Co 0.250 0.250 0.250
Sb 0.500 0.500 0.500

***

# 5
A relaxed BaBiSbPtAu crystal. Source: the Open Quantum Materials Database, functional GGA-PBE.

Summary:
SG	No. 11
size of the total moment	0.007	μB per formula unit
polymorph energy (0 for the lowest one)	9.5	kJ per mole of atoms

abc: 5.123 4.861 11.070
angles: 90.00 92.50 90.00
Fractional coordinates of all 10 atoms:
Ba 0.228 0.250 0.245
Ba 0.772 0.750 0.755
Bi 0.316 0.250 0.891
Bi 0.684 0.750 0.109
Sb 0.254 0.750 0.497
Sb 0.746 0.250 0.503
Pt 0.170 0.750 0.000
Pt 0.830 0.250 0.000
Au 0.253 0.250 0.627
Au 0.747 0.750 0.373

***

# 6
A relaxed ErTlSe2O8 crystal. Source: the Open Quantum Materials Database, functional GGA-PBE.

Summary:
SG	No. 164
size of the total moment	0.004	μB per formula unit
E	-5.816	eV per atom

abc: 5.662 5.662 7.453
angles: 90.00 90.00 120.00
Fractional coordinates of all 12 atoms:
Er 0.000 0.000 0.000
Tl 0.000 0.000 0.500
Se 0.333 0.667 0.737
Se 0.667 0.333 0.263
O 0.175 0.350 0.819
O 0.175 0.825 0.819
O 0.333 0.667 0.517
O 0.350 0.175 0.181
O 0.650 0.825 0.819
O 0.667 0.333 0.483
O 0.825 0.175 0.181
O 0.825 0.650 0.181

***

# 7
A relaxed BaPmMo crystal. Source: the Open Quantum Materials Database, functional GGA-PBE.

Summary:
SG	No. 216
size of the total moment	1.332	μB per formula unit
polymorph energy (0 for the lowest one)	0.0	kJ per mole of atoms

abc: 5.208 5.208 5.208
angles: 60.00 60.00 60.00
Fractional coordinates of all 3 atoms:
Ba 0.000 0.000 0.000
Pm 0.500 0.500 0.500
Mo 0.250 0.250 0.250

***

# 8
A relaxed CdTcO3 crystal. Source: the Open Quantum Materials Database, functional GGA-PBE.

Summary:
SG	No. 99
size of the total moment	0.896	μB per formula unit
E	-5.804	eV per atom

abc: 3.341 3.341 5.659
angles: 90.00 90.00 90.00
Fractional coordinates of all 5 atoms:
Cd 0.000 0.000 0.000
Tc 0.500 0.500 0.460
O 0.000 0.000 0.634
O 0.000 0.500 0.277
O 0.500 0.000 0.277

***

# 9
A relaxed MgNi crystal. Source: the Open Quantum Materials Database, functional GGA-PBE.

Summary:
SG	No. 11
size of the total moment	0.001	μB per formula unit
E	-3.645	eV per atom

abc: 6.565 4.318 12.445
angles: 90.00 90.06 90.00
Fractional coordinates of all 24 atoms:
Mg 0.072 0.250 0.335
Mg 0.073 0.750 0.165
Mg 0.335 0.250 0.897
Mg 0.335 0.750 0.603
Mg 0.397 0.250 0.143
Mg 0.398 0.750 0.356
Mg 0.602 0.250 0.644
Mg 0.603 0.750 0.857
Mg 0.665 0.250 0.397
Mg 0.665 0.750 0.103
Mg 0.927 0.250 0.835
Mg 0.928 0.750 0.665
Ni 0.050 0.250 0.045
Ni 0.050 0.750 0.455
Ni 0.201 0.250 0.693
Ni 0.201 0.750 0.807
Ni 0.310 0.250 0.492
Ni 0.310 0.750 0.008
Ni 0.690 0.250 0.992
Ni 0.690 0.750 0.508
Ni 0.799 0.250 0.193
Ni 0.799 0.750 0.307
Ni 0.950 0.250 0.545
Ni 0.950 0.750 0.955

***

# 10
A relaxed RbTbHgSe3 crystal. Source: the Open Quantum Materials Database, functional GGA-PBE.

Summary:
SG	No. 11
size of the total moment	0.001	μB per formula unit
E	-3.922	eV per atom

abc: 8.715 4.286 10.911
angles: 90.00 109.83 90.00
Fractional coordinates of all 12 atoms:
Rb 0.241 0.250 0.219
Rb 0.759 0.750 0.781
Tb 0.181 0.750 0.634
Tb 0.819 0.250 0.366
Hg 0.412 0.250 0.884
Hg 0.588 0.750 0.116
Se 0.040 0.750 0.361
Se 0.250 0.750 0.936
Se 0.417 0.250 0.645
Se 0.583 0.750 0.355
Se 0.750 0.250 0.064
Se 0.960 0.250 0.639

***

# 11
A relaxed KPrPbSe4 crystal. Source: the Open Quantum Materials Database, functional GGA-PBE.

Summary:
SG	No. 4
size of the total moment	0.005	μB per formula unit
E	-4.358	eV per atom

abc: 7.291 7.328 9.257
angles: 90.00 107.83 90.00
Fractional coordinates of all 14 atoms:
K 0.243 0.000 0.439
K 0.757 0.500 0.561
Pr 0.277 0.010 0.949
Pr 0.723 0.510 0.051
Pb 0.267 0.533 0.174
Pb 0.733 0.033 0.826
Se 0.034 0.644 0.907
Se 0.047 0.569 0.347
Se 0.454 0.288 0.777
Se 0.495 0.750 0.787
Se 0.505 0.250 0.213
Se 0.546 0.788 0.223
Se 0.953 0.069 0.653
Se 0.966 0.144 0.093

***

# 12
A relaxed TlSi2Au crystal. Source: the Open Quantum Materials Database, functional GGA-PBE.

Summary:
SG	No. 216
E	-3.559	eV per atom

abc: 4.844 4.844 4.844
angles: 60.00 60.00 60.00
Fractional coordinates of all 4 atoms:
Tl 0.000 0.000 0.000
Si 0.500 0.500 0.500
Si 0.750 0.750 0.750
Au 0.250 0.250 0.250

***

Calculated density across the listed records, respectively: 8.29 6.67 7.06 6.43 10.37 5.28 6.29 6.80 4.69 5.91 4.96 9.45 Mg/m³.